VASP calculation (PBE-GGA) on a relaxed structure of Ac3SnBi.

The value obtained for the formation enthalpy at 0 K is -0.0920 eV per atom. The value obtained for the density is 6.934 Mg/m³. The calculation puts the energy above the most stable polymorph in this dataset at 0.290 eV/atom. As for the crystal system: cubic.

The structure belongs to space group Pm-3m (No. 221); the cell edges are 6.2280, 6.2280 and 6.2280 Å and the angles 90.00°, 90.00° and 90.00°. The inequivalent atoms are Ac at (0.0000, 0.0000, 0.5000), Sn at (0.0000, 0.0000, 0.0000) and Bi at (0.5000, 0.5000, 0.5000).


VASP calculation (PBE-GGA) on a relaxed structure of La2BePtN.

The calculation puts the energy relative to the elements, uncorrected at -4.5 eV per formula unit. The value obtained for the density is 8.635 Mg/m³. As for the crystal system: tetragonal.

The structure belongs to space group P4/mmm (No. 123); the cell edges are 5.2881, 5.2881 and 3.4105 Å and the angles 90.00°, 90.00° and 90.00°. The inequivalent atoms are La at (0.0000, 0.5000, 0.0000), Be at (0.0000, 0.0000, 0.5000), Pt at (0.5000, 0.5000, 0.5000) and N at (0.0000, 0.0000, 0.0000).


The calculation returns the following electronic total energy values, one per record and in order: -20.67, -32.42 eV per cell.
The calculation returns the following density of states at the Fermi level values, one per record and in order: 5.10, 3.21 states/eV/cell.
The calculation returns the following total moment values, one per record and in order: 0.00, 0.00 μB/f.u..